Record 1
A plane-wave DFT calculation with PBE was carried out for an optimized crystal structure of LiBeIn2.

Geometry as extended XYZ:
```
8
Lattice="-2.1557 2.1557 9.0071 2.1557 -2.1557 9.0071 2.1557 2.1557 -9.0071" Properties=species:S:1:pos:R:3 pbc="T T T"
Li 0.0000 0.0000 0.0000
Li 0.0000 2.1557 4.5036
Be 2.1557 0.0000 4.5036
Be 0.0000 0.0000 9.0071
In 1.0778 -1.0306 6.7553
In 1.1251 1.0778 2.2518
In 1.0778 3.1863 -2.2518
In 1.0306 1.0778 11.2589
```

Calculated values
ΔE_f	0.326	eV/atom

***

Record 2
A plane-wave DFT calculation with PBE was carried out for an optimized crystal structure of Sm3DyAl8.

Geometry as extended XYZ:
```
12
Lattice="5.6085 0.0000 0.0000 -2.8042 4.8571 0.0000 0.0000 0.0000 9.2335" Properties=species:S:1:pos:R:3 pbc="T T T"
Sm 0.0000 0.0000 0.0000
Sm 0.0000 0.0000 3.3583
Sm 0.0000 3.2381 7.9703
Dy 0.0000 3.2381 4.6100
Al -1.3641 2.4505 1.6857
Al 1.3650 0.7881 6.2733
Al 1.3641 2.4505 1.6857
Al 0.0000 4.8132 1.6857
Al 2.8042 1.6190 3.9888
Al 2.8042 1.6190 8.5895
Al 4.2435 0.7881 6.2733
Al 2.8042 3.2810 6.2733
```

Calculated values
excess energy over the best structure of this formula in the dataset	0.21	kcal/mol of atoms
ΔE_f	-0.502	eV/atom

***

Record 3
A plane-wave DFT calculation with PBE was carried out for an optimized crystal structure of YVH3.

Geometry as extended XYZ:
```
5
Lattice="4.0285 0.0000 0.0000 0.0000 4.0285 0.0000 0.0000 0.0000 4.0285" Properties=species:S:1:pos:R:3 pbc="T T T"
Y 0.0000 0.0000 0.0000
V 2.0142 2.0142 2.0142
H 0.0000 0.0000 2.0142
H 0.0000 2.0142 0.0000
H 2.0142 0.0000 0.0000
```

Calculated values
excess energy over the best structure of this formula in the dataset	14.98	kcal/mol of atoms

***

Record 4
A plane-wave DFT calculation with PBE was carried out for an optimized crystal structure of LiHo2FeC.

Geometry as extended XYZ:
```
5
Lattice="4.9564 0.0000 0.0000 0.0000 4.9564 0.0000 0.0000 0.0000 3.6700" Properties=species:S:1:pos:R:3 pbc="T T T"
Li 0.0000 0.0000 0.0000
Ho 0.0000 2.4782 1.8350
Ho 2.4782 0.0000 1.8350
Fe 2.4782 2.4782 0.0000
C 2.4782 2.4782 1.8350
```

Calculated values
ΔE_f	-0.193	eV/atom

***

Record 5
A plane-wave DFT calculation with PBE was carried out for an optimized crystal structure of Si2BiTe6.

Geometry as extended XYZ:
```
18
Lattice="6.8157 -6.5022 0.0000 6.8157 6.5022 0.0000 -1.3946 0.0000 6.9498" Properties=species:S:1:pos:R:3 pbc="T T T"
Si 2.2439 0.9278 1.9155
Si 1.5466 -0.9278 5.3904
Si 10.6903 0.9278 1.5594
Si 9.9930 -0.9278 5.0343
Bi 5.7698 1.5642 5.2124
Bi 6.4671 -1.5642 1.7375
Te 0.9661 1.2422 4.1088
Te 3.7139 3.5901 6.5348
Te 1.6634 -1.2422 0.6339
Te 4.7875 1.1210 2.2358
Te 7.8258 3.5901 3.8900
Te 4.0902 -1.1210 5.7107
Te 8.1467 1.1210 1.2391
Te 4.4111 -3.5901 3.0599
Te 7.4494 -1.1210 4.7140
Te 10.5735 1.2422 6.3160
Te 8.5230 -3.5901 0.4150
Te 11.2708 -1.2422 2.8410
```

Calculated values
energy	-66.999	eV/cell

***

Record 6
A plane-wave DFT calculation with PBE was carried out for an optimized crystal structure of NdY2Ho3S6.

Geometry as extended XYZ:
```
12
Lattice="3.3915 -5.8963 0.0000 3.3915 5.8963 0.0000 -2.2667 0.0000 6.4231" Properties=species:S:1:pos:R:3 pbc="T T T"
Nd 0.0000 0.0000 0.0000
Y 3.3915 1.9578 0.0000
Y 3.3915 -1.9578 0.0000
Ho 2.2581 3.9759 3.2116
Ho 2.2581 0.0000 3.2116
Ho 2.2581 -3.9759 3.2116
S 1.1570 2.0145 1.6609
S 0.0502 0.0000 4.7795
S 1.1570 -2.0145 1.6609
S 3.3592 2.0145 4.7622
S 4.4661 0.0000 1.6437
S 3.3592 -2.0145 4.7622
```

Calculated values
energy	-80.101	eV/cell

***

Record 7
A plane-wave DFT calculation with PBE was carried out for an optimized crystal structure of TePtI2N.

Geometry as extended XYZ:
```
5
Lattice="5.4899 0.0000 0.0000 0.0000 5.4899 0.0000 0.0000 0.0000 5.1892" Properties=species:S:1:pos:R:3 pbc="T T T"
Te 0.0000 0.0000 0.0000
Pt 0.0000 0.0000 2.5946
I 0.0000 2.7450 2.5946
I 2.7450 0.0000 2.5946
N 2.7450 2.7450 0.0000
```

Calculated values
excess energy over the best structure of this formula in the dataset	22.58	kcal/mol of atoms

***

Record 8
A plane-wave DFT calculation with PBE was carried out for an optimized crystal structure of Ca2HfScBi4.

Geometry as extended XYZ:
```
8
Lattice="7.5055 0.0000 0.0000 0.0000 4.3214 0.0000 -2.4823 0.0000 7.5332" Properties=species:S:1:pos:R:3 pbc="T T T"
Ca 0.0000 0.0000 0.0000
Ca 3.7527 2.1607 0.0000
Hf -1.2412 2.1607 3.7666
Sc 2.5116 0.0000 3.7666
Bi -0.0030 0.0000 5.4619
Bi 1.2389 2.1607 2.0675
Bi 3.7842 2.1607 5.4657
Bi 5.0261 0.0000 2.0713
```

Calculated values
ΔE_f	-0.573	eV/atom

***

Record 9
A plane-wave DFT calculation with PBE was carried out for an optimized crystal structure of Er13Al2.

Geometry as extended XYZ:
```
15
Lattice="6.5786 0.0000 0.0000 1.4518 8.2456 0.0000 0.1215 4.0472 8.0249" Properties=species:S:1:pos:R:3 pbc="T T T"
Er 0.0000 0.0000 0.0000
Er 1.0333 6.9865 5.6581
Er 1.6243 2.4083 4.5686
Er 1.9820 2.3255 1.2247
Er 2.8925 9.2483 7.6897
Er 3.2754 4.7104 6.5405
Er 3.7379 4.8189 3.0358
Er 4.4140 7.4739 4.9891
Er 4.8765 7.5824 1.4844
Er 5.2594 3.0445 0.3352
Er 6.1699 9.9673 6.8002
Er 6.5276 9.8845 3.4563
Er 7.1186 5.3063 2.3668
Al 2.2363 7.8834 2.9082
Al 5.9156 4.4094 5.1166
```

Calculated values
ΔE_f	-0.025	eV/atom

***

Record 10
A plane-wave DFT calculation with PBE was carried out for an optimized crystal structure of PtRh2Cl.

Geometry as extended XYZ:
```
4
Lattice="2.8628 0.0000 0.0000 0.0000 2.8628 0.0000 0.0000 0.0000 7.8590" Properties=species:S:1:pos:R:3 pbc="T T T"
Pt 0.0000 0.0000 0.0000
Rh 0.0000 0.0000 3.5396
Rh 1.4314 1.4314 1.8412
Cl 1.4314 1.4314 5.3043
```

Calculated values
excess energy over the best structure of this formula in the dataset	2.68	kcal/mol of atoms

***

Record 11
A plane-wave DFT calculation with PBE was carried out for an optimized crystal structure of BaSr3Pd.

Geometry as extended XYZ:
```
5
Lattice="4.9895 0.0000 0.0000 0.0000 4.9895 0.0000 0.0000 0.0000 11.1701" Properties=species:S:1:pos:R:3 pbc="T T T"
Ba 0.0000 0.0000 0.0000
Sr 0.0000 0.0000 4.4609
Sr 0.0000 2.4947 7.8990
Sr 2.4947 0.0000 7.8990
Pd 2.4947 2.4947 9.7649
```

Calculated values
excess energy over the best structure of this formula in the dataset	7.44	kcal/mol of atoms
ΔE_f	0.024	eV/atom

***

Record 12
A plane-wave DFT calculation with PBE was carried out for an optimized crystal structure of Nd12Tl2Hg5.

Geometry as extended XYZ:
```
19
Lattice="8.2451 -3.9756 0.0000 8.2451 3.9756 0.0000 -0.3653 0.0000 9.4786" Properties=species:S:1:pos:R:3 pbc="T T T"
Nd 0.2941 0.0000 1.8619
Nd 5.8757 2.0962 0.3610
Nd 5.0874 1.8055 5.9698
Nd 10.2491 2.0962 9.1175
Nd 7.2697 0.0000 2.9549
Nd 11.0375 1.8055 3.5088
Nd 5.0874 -1.8055 5.9698
Nd 8.8551 0.0000 6.5236
Nd 5.8757 -2.0962 0.3610
Nd 11.0375 -1.8055 3.5088
Nd 10.2491 -2.0962 9.1175
Nd 15.8307 0.0000 7.6167
Tl 8.0624 2.4689 4.7393
Tl 8.0624 -2.4689 4.7393
Hg 2.4059 0.0000 6.2714
Hg 4.0242 0.0000 1.7334
Hg 8.2451 0.0000 0.0000
Hg 12.1006 0.0000 7.7452
Hg 13.7189 0.0000 3.2071
```

Calculated values
ΔE_f	-0.138	eV/atom

***

| no. | V (Å³/f.u.) |
| --- | --- |
| 1 | 84 |
| 2 | 252 |
| 3 | 65 |
| 4 | 90 |
| 5 | 308 |
| 6 | 257 |
| 7 | 156 |
| 8 | 244 |
| 9 | 435 |
| 10 | 64 |
| 11 | 278 |
| 12 | 621 |